# 1
Below is a relaxed DyHCl crystal, with properties calculated at the PBE level.

Unit cell a=4.2038 b=4.2038 c=6.6620 alpha=71.67 beta=71.67 gamma=89.96
Last column: nearest neighbours and their distance in Å.
Sites, in units of the cell vectors:
Dy (0.2514, 0.1917, 0.4139)  4 H 2.40
Dy (0.5570, 0.4972, 0.8031)  4 H 2.40
H (0.1539, 0.5950, 0.6085)  4 Dy 2.40
H (0.6546, 0.0941, 0.6085)  4 Dy 2.40
Cl (0.4042, 0.8443, 0.1085)  4 Dy 2.78, 4 Cl 2.97, 2 H 2.98
Cl (0.9042, 0.3442, 0.1085)  4 Dy 2.78, 4 Cl 2.97, 2 H 2.98

Computed properties:
Final energy ... -4.352 eV/atom
Crystal system ... monoclinic
Space-group type ... C2/m (12)

***

# 2
Below is a relaxed Tl6HgSe2S crystal, with properties calculated at the PBE level.

Unit cell a=7.6623 b=7.6806 c=7.8978 alpha=60.41 beta=60.45 gamma=59.77
Last column: nearest neighbours and their distance in Å.
Sites, in units of the cell vectors:
Tl (0.5682, 0.1765, 0.2850)  1 S 3.02, 2 Se 3.05-3.06
Tl (0.1766, 0.9691, 0.2845)  1 S 3.01, 2 Se 3.05-3.06
Tl (0.9723, 0.5669, 0.2850)  1 S 3.00, 2 Se 3.04-3.06
Tl (0.3751, 0.7498, 0.6964)  1 S 2.92, 1 Se 3.09, 1 Hg 3.16
Tl (0.7503, 0.1742, 0.7005)  1 S 2.92, 1 Se 3.09, 1 Hg 3.17
Tl (0.1746, 0.3795, 0.7001)  1 S 2.93, 1 Se 3.08, 1 Hg 3.18
Hg (0.7193, 0.7274, 0.8241)  1 Se 2.85, 3 Tl 3.16-3.18
Se (0.5823, 0.5772, 0.2623)  1 Hg 2.85, 3 Tl 3.04-3.05
Se (0.0061, 0.0046, 0.9862)  6 Tl 3.06-3.09
S (0.3368, 0.3364, 0.9909)  6 Tl 2.92-3.02

Computed properties:
Formation energy (no corrections) ... -0.273 eV/atom
Crystal system ... triclinic
Space-group type ... P1 (1)

***

# 3
Below is a relaxed YGeRh2F crystal, with properties calculated at the PBE level.

Unit cell a=4.5363 b=4.2616 c=4.5363 alpha=90.00 beta=90.00 gamma=90.00
Last column: nearest neighbours and their distance in Å.
Sites, in units of the cell vectors:
Y (0.0000, 0.5000, 0.0000)  2 F 2.13
Ge (0.5000, 0.5000, 0.5000)  8 Rh 3.11, 4 Y 3.21
Rh (0.0000, 0.0000, 0.5000)  2 F 2.27
Rh (0.5000, 0.0000, 0.0000)  2 F 2.27
F (0.0000, 0.0000, 0.0000)  2 Y 2.13, 4 Rh 2.27

Computed properties:
Formation energy (no corrections) ... -0.418 eV/atom
Crystal system ... tetragonal
Space-group type ... P4/mmm (123)

***

# 4
Below is a relaxed Sr5Ca crystal, with properties calculated at the PBE level.

Unit cell a=7.7512 b=7.7512 c=7.7512 alpha=60.00 beta=60.00 gamma=60.00
Last column: nearest neighbours and their distance in Å.
Sites, in units of the cell vectors:
Sr (0.2500, 0.2500, 0.2500)  12 Sr 4.55, 4 Ca 4.75
Sr (0.6252, 0.6252, 0.6252)  6 Sr 3.87-3.88
Sr (0.6252, 0.6252, 0.1243)  6 Sr 3.87-3.88
Sr (0.1243, 0.6252, 0.6252)  6 Sr 3.87-3.88
Sr (0.6252, 0.1243, 0.6252)  6 Sr 3.87-3.88
Ca (0.0000, 0.0000, 0.0000)  16 Sr 4.54-4.75

Computed properties:
Calculated formation energy ... 0.1167 eV/atom
Crystal system ... cubic
Energy relative to the lowest polymorph listed for this composition ... 0.108 eV per atom
Space-group type ... F-43m (216)

***

# 5
Below is a relaxed Cs2PmAuO4 crystal, with properties calculated at the PBE level.

Unit cell a=6.3516 b=8.0735 c=11.9750 alpha=84.01 beta=74.62 gamma=66.84
Last column: nearest neighbours and their distance in Å.
Sites, in units of the cell vectors:
Cs (0.1838, 0.0000, 0.6325)  2 O 2.75
Cs (0.8162, 0.0000, 0.3675)  2 O 2.75
Cs (0.5662, 0.5000, 0.8675)  2 O 2.75
Cs (0.9338, 0.5000, 0.1325)  2 O 2.75
Pm (0.7500, 0.5000, 0.5000)  4 O 2.25
Pm (0.0000, 0.0000, 0.0000)  4 O 2.25
Au (0.2500, 0.5000, 0.5000)  4 O 2.06
Au (0.5000, 0.0000, 0.0000)  4 O 2.06
O (0.3664, 0.8040, 0.0038)  1 Au 2.06, 1 Pm 2.25
O (0.1742, 0.1960, 0.9962)  1 Au 2.06, 1 Pm 2.25
O (0.8296, 0.8040, 0.9962)  1 Au 2.06, 1 Pm 2.25
O (0.6298, 0.1960, 0.0038)  1 Au 2.06, 1 Pm 2.25
O (0.3836, 0.6960, 0.4962)  1 Au 2.06, 1 Pm 2.25
O (0.5758, 0.3040, 0.5038)  1 Au 2.06, 1 Pm 2.25
O (0.9204, 0.6960, 0.5038)  1 Au 2.06, 1 Pm 2.25
O (0.1202, 0.3040, 0.4962)  1 Au 2.06, 1 Pm 2.25

Computed properties:
Formation energy (no corrections) ... -1.328 eV/atom
Crystal system ... orthorhombic
Space-group type ... Fddd (70)

***

# 6
Below is a relaxed SmHfAlCd crystal, with properties calculated at the PBE level.

Unit cell a=5.0577 b=5.0577 c=5.0577 alpha=60.00 beta=60.00 gamma=60.00
Last column: nearest neighbours and their distance in Å.
Sites, in units of the cell vectors:
Hf (0.0000, 0.0000, 0.0000)  4 Cd 3.10, 4 Al 3.10
Al (0.2500, 0.2500, 0.2500)  4 Hf 3.10, 4 Sm 3.10
Sm (0.5000, 0.5000, 0.5000)  4 Cd 3.10, 4 Al 3.10
Cd (0.7500, 0.7500, 0.7500)  4 Sm 3.10, 4 Hf 3.10

Computed properties:
Calculated formation energy ... -0.1437 eV/atom
Crystal system ... cubic
Space-group type ... F-43m (216)

***

# 7
Below is a relaxed Sc3TlN crystal, with properties calculated at the PBE level.

Unit cell a=8.0692 b=8.0692 c=8.0692 alpha=41.37 beta=41.37 gamma=41.37
Last column: nearest neighbours and their distance in Å.
Sites, in units of the cell vectors:
Sc (0.4549, 0.0958, 0.7850)  2 N 2.23
Sc (0.0958, 0.7850, 0.4549)  2 N 2.23
Sc (0.2150, 0.5451, 0.9042)  2 N 2.23
Sc (0.9042, 0.2150, 0.5451)  2 N 2.23
Sc (0.5451, 0.9042, 0.2150)  2 N 2.23
Sc (0.7850, 0.4549, 0.0958)  2 N 2.23
Tl (0.3365, 0.3365, 0.3365)  6 Sc 3.11-3.13, 3 Tl 3.29
Tl (0.6635, 0.6635, 0.6635)  6 Sc 3.11-3.13, 3 Tl 3.29
N (0.1636, 0.1636, 0.1636)  6 Sc 2.23
N (0.8364, 0.8364, 0.8364)  6 Sc 2.23

Computed properties:
Formation energy (no corrections) ... -0.749 eV/atom
Crystal system ... trigonal
Space-group type ... R-3 (148)

***

# 8
Below is a relaxed Sm7Er12Pu crystal, with properties calculated at the PBE level.

Unit cell a=8.8756 b=9.3886 c=8.6463 alpha=96.47 beta=99.85 gamma=64.02
Last column: nearest neighbours and their distance in Å.
Sites, in units of the cell vectors:
Sm (0.1045, 0.7458, 0.6943)  1 Pu 3.32, 5 Er 3.45-3.66, 2 Sm 3.52-3.62
Sm (0.3369, 0.3322, 0.7207)  7 Er 3.32-3.70, 3 Sm 3.44-3.52
Sm (0.2477, 0.8668, 0.3455)  5 Er 3.29-3.67, 1 Pu 3.39, 3 Sm 3.44-3.62
Sm (0.5000, 0.5000, 0.5000)  6 Sm 3.44-3.81, 4 Er 3.52-3.79
Sm (0.7523, 0.1332, 0.6545)  5 Er 3.29-3.67, 1 Pu 3.39, 3 Sm 3.44-3.62
Sm (0.6631, 0.6678, 0.2793)  7 Er 3.32-3.70, 3 Sm 3.44-3.52
Sm (0.8955, 0.2542, 0.3057)  1 Pu 3.32, 5 Er 3.45-3.66, 2 Sm 3.52-3.62
Er (0.1355, 0.2915, 0.0111)  9 Er 3.33-3.73, 1 Pu 3.42, 2 Sm 3.46-3.72
Er (0.5881, 0.1409, 0.0338)  1 Sm 3.32, 1 Pu 3.35, 6 Er 3.41-3.68
Er (0.4079, 0.1329, 0.3513)  3 Sm 3.37-3.67, 5 Er 3.43-3.59
Er (0.9021, 0.4804, 0.6524)  6 Er 3.35-3.59, 5 Sm 3.45-3.70
Er (0.1471, 0.0896, 0.6677)  5 Sm 3.29-3.58, 4 Er 3.33-3.59, 1 Pu 3.67
Er (0.6923, 0.4336, 0.9269)  3 Sm 3.38-3.66, 6 Er 3.43-3.68
Er (0.3077, 0.5664, 0.0731)  3 Sm 3.38-3.66, 6 Er 3.43-3.68
Er (0.8529, 0.9104, 0.3323)  5 Sm 3.29-3.58, 4 Er 3.33-3.59, 1 Pu 3.67
Er (0.0979, 0.5196, 0.3476)  6 Er 3.35-3.59, 5 Sm 3.45-3.70
Er (0.5921, 0.8671, 0.6487)  3 Sm 3.37-3.67, 5 Er 3.43-3.59
Er (0.4119, 0.8591, 0.9662)  1 Sm 3.32, 1 Pu 3.35, 6 Er 3.41-3.68
Er (0.8645, 0.7085, 0.9889)  9 Er 3.33-3.73, 1 Pu 3.42, 2 Sm 3.46-3.72
Pu (0.0000, 0.0000, 0.0000)  4 Sm 3.32-3.39, 6 Er 3.35-3.67

Computed properties:
Calculated formation energy ... 0.1156 eV/atom
Crystal system ... triclinic
Space-group type ... P-1 (2)

***

# 9
Below is a relaxed Y2Th3ScS6 crystal, with properties calculated at the PBE level.

Unit cell a=3.8825 b=8.0374 c=8.9760 alpha=106.98 beta=102.49 gamma=90.00
Last column: nearest neighbours and their distance in Å.
Sites, in units of the cell vectors:
Y (0.8347, 0.6689, 0.6693)  6 S 2.73-2.74
Y (0.1653, 0.3311, 0.3307)  6 S 2.73-2.74
Th (0.5000, 0.5000, 0.0000)  6 S 2.87-2.92
Th (0.8323, 0.1667, 0.6647)  6 S 2.86-2.93
Th (0.1677, 0.8333, 0.3353)  6 S 2.86-2.93
Sc (0.5000, 0.0000, 0.0000)  6 S 2.65-2.67
S (0.3420, 0.9124, 0.6839)  1 Sc 2.65, 2 Y 2.73, 3 Th 2.86-2.93
S (0.6708, 0.5737, 0.3416)  3 Y 2.73-2.74, 3 Th 2.86-2.87
S (0.6580, 0.0876, 0.3161)  1 Sc 2.65, 2 Y 2.73, 3 Th 2.86-2.93
S (0.0020, 0.2293, 0.0041)  2 Sc 2.67, 1 Y 2.73, 3 Th 2.86-2.92
S (0.9980, 0.7707, 0.9959)  2 Sc 2.67, 1 Y 2.73, 3 Th 2.86-2.92
S (0.3292, 0.4263, 0.6584)  3 Y 2.73-2.74, 3 Th 2.86-2.87

Computed properties:
Formation energy (no corrections) ... -1.869 eV/atom
Crystal system ... monoclinic
Space-group type ... C2/m (12)

***

# 10
Below is a relaxed SbOsCCl2 crystal, with properties calculated at the PBE level.

Unit cell a=4.2361 b=5.0737 c=4.2361 alpha=90.00 beta=90.00 gamma=90.00
Last column: nearest neighbours and their distance in Å.
Sites, in units of the cell vectors:
Sb (0.0000, 0.5000, 0.0000)  2 C 2.54
C (0.0000, 0.0000, 0.0000)  4 Cl 2.12
Os (0.5000, 0.5000, 0.5000)  4 Sb 3.00, 8 Cl 3.30
Cl (0.0000, 0.0000, 0.5000)  2 C 2.12
Cl (0.5000, 0.0000, 0.0000)  2 C 2.12

Computed properties:
Formation energy (no corrections) ... 1.738 eV/atom
Crystal system ... tetragonal
Space-group type ... P4/mmm (123)

***

Magnetization (μB per cell)
0.00; 0.00; 0.00; 0.00; 0.00; 0.00; 0.00; 5.60; 0.00; 2.90